Record 1
# CdSb2Mo

An optimized crystal structure of CdSb2Mo (GGA-PBEsol, Alexandria).

a = 3.7052 Å, b = 4.7292 Å, c = 10.1721 Å
α = 90.00°, β = 90.00°, γ = 90.00°
Last column: nearest neighbours and their distance in Å.
Positions (direct):
1 Cd 0.0000 0.0000 0.0000  2 Mo 2.86, 4 Cd 3.00, 2 Sb 3.16
2 Cd 0.5000 0.5000 0.0000  2 Mo 2.86, 4 Cd 3.00, 2 Sb 3.16
3 Sb 0.0000 0.0000 0.4149  2 Mo 2.76, 4 Sb 3.00
4 Sb 0.0000 0.5000 0.7482  4 Sb 3.00, 2 Cd 3.16
5 Sb 0.5000 0.0000 0.7482  4 Sb 3.00, 2 Cd 3.16
6 Sb 0.5000 0.5000 0.4149  2 Mo 2.76, 4 Sb 3.00
7 Mo 0.0000 0.5000 0.2144  2 Sb 2.76, 2 Cd 2.86, 4 Mo 3.00
8 Mo 0.5000 0.0000 0.2144  2 Sb 2.76, 2 Cd 2.86, 4 Mo 3.00

Calculated values
Crystal system: orthorhombic

Record 2
# CdSb2Mo

An optimized crystal structure of CdSb2Mo (GGA-PBEsol, Alexandria).

a = 4.7925 Å, b = 4.7925 Å, c = 3.5313 Å
α = 90.00°, β = 90.00°, γ = 90.00°
Last column: nearest neighbours and their distance in Å.
Positions (direct):
1 Cd 0.0000 0.0000 0.0000  8 Sb 2.98
2 Sb 0.0000 0.5000 0.5000  4 Cd 2.98, 4 Mo 2.98
3 Sb 0.5000 0.0000 0.5000  4 Cd 2.98, 4 Mo 2.98
4 Mo 0.5000 0.5000 0.0000  8 Sb 2.98

Calculated values
Crystal system: tetragonal

| no. | formation energy from raw total energies (eV per atom) |
| --- | --- |
| 1 | 0.377 |
| 2 | 0.468 |